(1)
The following is a DFT calculation (PBE) of an optimized crystal structure of HoTmTi.

Spin magnetization: 1.58 μB per cell
SG: No. 187
Calculated formation energy: 0.218 eV/atom
Density: 8.214 g/cm3
Excess energy over the best structure of this formula in the dataset: 0 meV per atom

Cell: 3.2748 5.2163 5.2163 Å, 120.00 90.00 90.00°
Last column: nearest neighbours and their distance in Å.
Positions (direct):
Ti: 0.1664 0.3333 0.6667  3 Tm 3.01, 2 Ti 3.27
Ho: 0.6667 0.6667 0.3333  2 Ho 3.27, 6 Ti 3.43, 6 Tm 3.43
Tm: 0.1669 0.0000 0.0000  3 Ti 3.01, 2 Tm 3.27

(2)
The following is a DFT calculation (PBE) of an optimized crystal structure of HoTm2Ti.

Spin magnetization: 0.00 μB per cell
SG: No. 123
Calculated formation energy: 0.151 eV/atom
Density: 8.584 g/cm3
Excess energy over the best structure of this formula in the dataset: 0 meV per atom

Cell: 3.3556 3.3556 9.4607 Å, 90.00 90.00 90.00°
Last column: nearest neighbours and their distance in Å.
Positions (direct):
Ho: 0.5000 0.5000 0.5000  4 Ho 3.36, 8 Tm 3.56
Ti: 0.5000 0.5000 0.0000  8 Tm 3.15, 4 Ti 3.36
Tm: 0.0000 0.0000 0.7803  4 Ti 3.15, 4 Tm 3.36
Tm: 0.0000 0.0000 0.2197  4 Ti 3.15, 4 Tm 3.36

(3)
The following is a DFT calculation (PBE) of an optimized crystal structure of HoTmTi.

Spin magnetization: 3.61 μB per cell
SG: No. 63
Calculated formation energy: 0.247 eV/atom
Density: 7.836 g/cm3
Excess energy over the best structure of this formula in the dataset: 29 meV per atom

Cell: 3.6859 3.4444 12.8591 Å, 82.30 90.00 90.00°
Last column: nearest neighbours and their distance in Å.
Positions (direct):
Ho: 0.2500 0.4420 0.1159  4 Ti 3.11, 4 Ho 3.44-3.48
Ho: 0.7500 0.5579 0.8841  4 Ti 3.11, 4 Ho 3.44-3.48
Tm: 0.7500 0.6995 0.6010  4 Ti 3.09, 2 Tm 3.44
Tm: 0.2500 0.3005 0.3990  4 Ti 3.09, 2 Tm 3.44
Ti: 0.2500 0.1295 0.7410  4 Tm 3.09, 4 Ho 3.11, 2 Ti 3.44
Ti: 0.7500 0.8705 0.2590  4 Tm 3.09, 4 Ho 3.11, 2 Ti 3.44

(4)
The following is a DFT calculation (PBE) of an optimized crystal structure of HoTmTi4.

Spin magnetization: 9.42 μB per cell
SG: No. 216
Calculated formation energy: 0.230 eV/atom
Density: 6.406 g/cm3

Cell: 5.7749 5.7749 5.7749 Å, 60.00 60.00 60.00°
Last column: nearest neighbours and their distance in Å.
Positions (direct):
Ho: 0.2500 0.2500 0.2500  12 Ti 3.39, 4 Tm 3.54
Ti: 0.6253 0.1242 0.6253  6 Ti 2.88-2.89
Ti: 0.6253 0.6253 0.6253  6 Ti 2.88-2.89
Ti: 0.1242 0.6253 0.6253  6 Ti 2.88-2.89
Ti: 0.6253 0.6253 0.1242  6 Ti 2.88-2.89
Tm: 0.0000 0.0000 0.0000  12 Ti 3.39, 4 Ho 3.54

(5)
The following is a DFT calculation (PBE) of an optimized crystal structure of Ho2TmTi.

Spin magnetization: 1.85 μB per cell
SG: No. 166
Calculated formation energy: 0.411 eV/atom
Density: 8.144 g/cm3
Excess energy over the best structure of this formula in the dataset: 252 meV per atom

Cell: 3.3317 3.3317 11.7534 Å, 81.85 81.85 60.00°
Last column: nearest neighbours and their distance in Å.
Positions (direct):
Tm: 0.5000 0.5000 0.5000  6 Tm 3.33, 6 Ho 3.44
Ti: 0.0000 0.0000 0.0000  2 Ho 2.94
Ho: 0.9155 0.9155 0.2535  1 Ti 2.94
Ho: 0.0845 0.0845 0.7465  1 Ti 2.94

(6)
The following is a DFT calculation (PBE) of an optimized crystal structure of Ho2TmTi.

Spin magnetization: 0.00 μB per cell
SG: No. 123
Calculated formation energy: 0.160 eV/atom
Density: 8.442 g/cm3
Excess energy over the best structure of this formula in the dataset: 0 meV per atom

Cell: 3.3859 3.3859 9.3798 Å, 90.00 90.00 90.00°
Last column: nearest neighbours and their distance in Å.
Positions (direct):
Ho: 0.0000 0.0000 0.7782  4 Ti 3.17, 4 Ho 3.39, 4 Tm 3.54
Ho: 0.0000 0.0000 0.2218  4 Ti 3.17, 4 Ho 3.39, 4 Tm 3.54
Ti: 0.5000 0.5000 0.0000  8 Ho 3.17, 4 Ti 3.39
Tm: 0.5000 0.5000 0.5000  4 Tm 3.39, 8 Ho 3.54

Short version: density of states at the Fermi level = 4.2 6.5 8.2 7.7 6.3 6.2 states/eV/cell, in the order given.